[1]
Computed, not measured: Ca2BrCl3 after structural relaxation at the GGA-PBE level of DFT.

Summary:
Uncorrected formation energy ... -2.302 eV per atom

abc: 8.3572 8.3572 8.0791
angles: 58.85 58.85 60.00
With the nearest neighbours (Å) after each atom.
Fractional coordinates of all 12 atoms:
Ca1 0.0000 0.0000 0.0000  6 Cl 2.78
Ca2 0.5000 0.0000 0.0000  4 Cl 2.77, 2 Br 2.92
Ca3 0.5000 0.5000 0.0000  4 Cl 2.77, 2 Br 2.92
Ca4 0.0000 0.5000 0.0000  4 Cl 2.77, 2 Br 2.92
Br1 0.2491 0.2491 0.2527  3 Ca 2.92
Br2 0.7509 0.7509 0.7473  3 Ca 2.92
Cl1 0.2649 0.7621 0.2109  3 Ca 2.77-2.78
Cl2 0.2379 0.7351 0.7891  3 Ca 2.77-2.78
Cl3 0.7621 0.2649 0.2109  3 Ca 2.77-2.78
Cl4 0.7621 0.7621 0.2109  3 Ca 2.77-2.78
Cl5 0.7351 0.2379 0.7891  3 Ca 2.77-2.78
Cl6 0.2379 0.2379 0.7891  3 Ca 2.77-2.78

---

[2]
Computed, not measured: YSi2Ge2 after structural relaxation at the GGA-PBE level of DFT.

Summary:
Energy above the most stable polymorph in this dataset ... 13 meV per atom
Uncorrected formation energy ... -0.044 eV per atom

abc: 4.0304 4.0304 6.8536
angles: 72.90 72.90 90.00
With the nearest neighbours (Å) after each atom.
Fractional coordinates of all 5 atoms:
Y1 0.0000 0.0000 0.0000  8 Si 3.08
Ge1 0.7500 0.2500 0.5000  4 Si 2.81, 4 Ge 2.85
Ge2 0.2500 0.7500 0.5000  4 Si 2.81, 4 Ge 2.85
Si1 0.4070 0.4070 0.1861  1 Si 2.32
Si2 0.5930 0.5930 0.8139  1 Si 2.32

---

[3]
Computed, not measured: CsNaAu2 after structural relaxation at the GGA-PBE level of DFT.

Summary:
Energy above the most stable polymorph in this dataset ... 33 meV per atom

abc: 4.9604 4.9604 6.9012
angles: 68.94 68.94 60.00
With the nearest neighbours (Å) after each atom.
Fractional coordinates of all 4 atoms:
Cs1 0.5096 0.5096 0.4713  1 Na 3.50, 4 Au 3.78-3.80
Na1 0.6952 0.6952 0.9144  6 Au 2.97-3.03
Au1 0.9862 0.9862 0.0415  3 Au 2.87, 3 Na 2.97
Au2 0.3091 0.3091 0.0728  3 Au 2.87, 3 Na 3.03

---

[4]
Computed, not measured: Pu3NpPa2P6 after structural relaxation at the GGA-PBE level of DFT.

Summary:
Final energy ... -121.44 eV per cell

abc: 3.9797 7.9588 8.9071
angles: 103.08 102.91 90.00
With the nearest neighbours (Å) after each atom.
Fractional coordinates of all 12 atoms:
Pu1 0.5000 0.5000 0.0000  6 P 2.82-2.83
Pu2 0.8329 0.1679 0.6657  6 P 2.81-2.82
Pu3 0.1671 0.8321 0.3343  6 P 2.81-2.82
Np1 0.5000 0.0000 0.0000  6 P 2.80-2.81
Pa1 0.8349 0.6703 0.6697  6 P 2.79-2.82
Pa2 0.1651 0.3297 0.3303  6 P 2.79-2.82
P1 0.3337 0.9167 0.6674  2 Pa 2.80, 1 Np 2.81, 3 Pu 2.81-2.82
P2 0.6676 0.5808 0.3352  3 Pa 2.81-2.82, 3 Pu 2.82-2.83
P3 0.6663 0.0833 0.3326  2 Pa 2.80, 1 Np 2.81, 3 Pu 2.81-2.82
P4 0.0001 0.2484 0.0001  1 Pa 2.79, 2 Np 2.80, 3 Pu 2.82
P5 0.9999 0.7516 0.9999  1 Pa 2.79, 2 Np 2.80, 3 Pu 2.82
P6 0.3324 0.4192 0.6647  3 Pa 2.81-2.82, 3 Pu 2.82-2.83

---

[5]
Computed, not measured: RbTlZn2Br6 after structural relaxation at the GGA-PBE level of DFT.

Summary:
Uncorrected formation energy ... -1.045 eV per atom

abc: 9.2939 9.2939 10.6647
angles: 98.35 98.35 110.38
With the nearest neighbours (Å) after each atom.
Fractional coordinates of all 20 atoms:
Rb1 0.0724 0.9276 0.2500  6 Br 3.41-3.79
Rb2 0.9276 0.0724 0.7500  6 Br 3.41-3.79
Tl1 0.5893 0.4107 0.2500  8 Br 3.46-3.68
Tl2 0.4107 0.5893 0.7500  8 Br 3.46-3.68
Zn1 0.4782 0.1924 0.6690  4 Br 2.38-2.55
Zn2 0.8076 0.5218 0.8310  4 Br 2.38-2.55
Zn3 0.5218 0.8076 0.3310  4 Br 2.38-2.55
Zn4 0.1924 0.4782 0.1690  4 Br 2.38-2.55
Br1 0.9565 0.5241 0.1740  1 Zn 2.38
Br2 0.4759 0.0435 0.3260  1 Zn 2.38
Br3 0.0435 0.4759 0.8260  1 Zn 2.38
Br4 0.5241 0.9565 0.6740  1 Zn 2.38
Br5 0.1883 0.2227 0.0860  1 Zn 2.40
Br6 0.7773 0.8117 0.4140  1 Zn 2.40
Br7 0.8117 0.7773 0.9140  1 Zn 2.40
Br8 0.2227 0.1883 0.5860  1 Zn 2.40
Br9 0.3393 0.5812 0.4054  2 Zn 2.52-2.55
Br10 0.4188 0.6607 0.0946  2 Zn 2.52-2.55
Br11 0.6607 0.4188 0.5946  2 Zn 2.52-2.55
Br12 0.5812 0.3393 0.9054  2 Zn 2.52-2.55

---

[6]
Computed, not measured: AlCuMo3 after structural relaxation at the GGA-PBE level of DFT.

Summary:
Energy above the most stable polymorph in this dataset ... 280 meV per atom

abc: 4.5215 4.5215 4.5215
angles: 90.00 90.00 90.00
With the nearest neighbours (Å) after each atom.
Fractional coordinates of all 5 atoms:
Mo1 0.0000 0.5000 0.0000  2 Al 2.26
Mo2 0.0000 0.0000 0.5000  2 Al 2.26
Mo3 0.5000 0.0000 0.0000  2 Al 2.26
Al1 0.0000 0.0000 0.0000  6 Mo 2.26
Cu1 0.5000 0.5000 0.5000  12 Mo 3.20

---

[7]
Computed, not measured: Ho6Ga2Te3Pb after structural relaxation at the GGA-PBE level of DFT.

Summary:
Uncorrected formation energy ... -0.900 eV per atom

abc: 4.1998 8.8363 9.8114
angles: 107.88 102.36 90.00
With the nearest neighbours (Å) after each atom.
Fractional coordinates of all 12 atoms:
Ho1 0.3306 0.8951 0.6611  2 Ga 2.97, 1 Pb 3.08, 3 Te 3.09-3.14
Ho2 0.6698 0.5791 0.3396  3 Ga 2.92-2.96, 3 Te 3.11-3.13
Ho3 0.6694 0.1049 0.3389  2 Ga 2.97, 1 Pb 3.08, 3 Te 3.09-3.14
Ho4 0.0080 0.2544 0.0159  1 Ga 2.96, 2 Pb 3.04, 3 Te 3.06-3.12
Ho5 0.9920 0.7456 0.9841  1 Ga 2.96, 2 Pb 3.04, 3 Te 3.06-3.12
Ho6 0.3302 0.4209 0.6604  3 Ga 2.92-2.96, 3 Te 3.11-3.13
Ga1 0.8297 0.6564 0.6593  6 Ho 2.92-2.97
Ga2 0.1703 0.3436 0.3407  6 Ho 2.92-2.97
Te1 0.5000 0.5000 0.0000  6 Ho 3.06-3.11
Te2 0.8368 0.1626 0.6737  6 Ho 3.09-3.14
Te3 0.1632 0.8374 0.3263  6 Ho 3.09-3.14
Pb1 0.5000 0.0000 0.0000  6 Ho 3.04-3.08

---

[8]
Computed, not measured: Tb3Ho4In after structural relaxation at the GGA-PBE level of DFT.

Summary:
Energy above the most stable polymorph in this dataset ... 3 meV per atom

abc: 6.1523 7.0148 11.1520
angles: 90.00 90.00 90.00
With the nearest neighbours (Å) after each atom.
Fractional coordinates of all 16 atoms:
Tb1 0.8362 0.8726 0.0000  8 Ho 3.35-3.72, 2 Tb 3.48, 2 In 3.49-3.53
Tb2 0.0339 0.6163 0.2436  2 In 3.39-3.47, 7 Ho 3.40-3.68, 3 Tb 3.48
Tb3 0.5339 0.3837 0.2565  2 In 3.38-3.47, 7 Ho 3.40-3.68, 3 Tb 3.48
Tb4 0.3362 0.1274 0.5000  8 Ho 3.35-3.72, 2 Tb 3.48, 2 In 3.49-3.53
Tb5 0.5339 0.3838 0.7435  2 In 3.38-3.47, 7 Ho 3.40-3.68, 3 Tb 3.48
Tb6 0.0339 0.6163 0.7564  2 In 3.38-3.47, 7 Ho 3.40-3.68, 3 Tb 3.48
Ho1 0.3670 0.6290 0.0000  6 Tb 3.35-3.69, 2 In 3.49-3.62, 4 Ho 3.50-3.51
Ho2 0.3641 0.1299 0.0000  4 Tb 3.42-3.72, 6 Ho 3.43-3.55, 2 In 3.47-3.58
Ho3 0.0129 0.1265 0.2386  1 In 3.33, 6 Tb 3.38-3.68, 5 Ho 3.43-3.56
Ho4 0.5129 0.8736 0.2614  1 In 3.33, 6 Tb 3.38-3.68, 5 Ho 3.43-3.56
Ho5 0.8640 0.8701 0.5000  4 Tb 3.42-3.72, 6 Ho 3.43-3.55, 2 In 3.47-3.58
Ho6 0.8670 0.3710 0.5000  6 Tb 3.35-3.69, 2 In 3.49-3.62, 4 Ho 3.50-3.51
Ho7 0.5129 0.8736 0.7386  1 In 3.33, 6 Tb 3.38-3.68, 5 Ho 3.43-3.56
Ho8 0.0129 0.1265 0.7614  1 In 3.33, 6 Tb 3.38-3.68, 5 Ho 3.43-3.56
In1 0.8544 0.3751 0.0000  6 Ho 3.33-3.62, 6 Tb 3.38-3.53
In2 0.3544 0.6248 0.5000  6 Ho 3.33-3.62, 6 Tb 3.38-3.53

---

[9]
Computed, not measured: Sr2CeSi6 after structural relaxation at the GGA-PBE level of DFT.

Summary:
Uncorrected formation energy ... -0.400 eV per atom

abc: 4.4133 7.1594 7.1594
angles: 120.00 90.00 90.00
With the nearest neighbours (Å) after each atom.
Fractional coordinates of all 9 atoms:
Sr1 0.0000 0.3333 0.6667  12 Si 3.26
Sr2 0.0000 0.6667 0.3333  12 Si 3.26
Ce1 0.0000 0.0000 0.0000  12 Si 3.23
Si1 0.5000 0.3286 0.3286  3 Si 2.35-2.45
Si2 0.5000 0.6714 0.6714  3 Si 2.35-2.45
Si3 0.5000 0.0000 0.6714  3 Si 2.35-2.45
Si4 0.5000 0.6714 0.0000  3 Si 2.35-2.45
Si5 0.5000 0.3286 0.0000  3 Si 2.35-2.45
Si6 0.5000 0.0000 0.3286  3 Si 2.35-2.45

---

[10]
Computed, not measured: Pm2Mg2Ru after structural relaxation at the GGA-PBE level of DFT.

Summary:
Final energy ... -44.09 eV per cell

abc: 4.7685 4.7685 12.3697
angles: 101.11 101.11 90.00
With the nearest neighbours (Å) after each atom.
Fractional coordinates of all 10 atoms:
Pm1 0.8092 0.8092 0.6184  2 Ru 2.77
Pm2 0.5592 0.0592 0.1184  2 Ru 2.77
Pm3 0.9408 0.4408 0.8816  2 Ru 2.77
Pm4 0.1908 0.1908 0.3816  2 Ru 2.77
Mg1 0.4230 0.9230 0.8459  2 Ru 3.01, 1 Pm 3.24, 2 Mg 3.30
Mg2 0.6730 0.6730 0.3459  2 Ru 3.01, 1 Pm 3.24, 2 Mg 3.30
Mg3 0.3270 0.3270 0.6541  2 Ru 3.01, 1 Pm 3.24, 2 Mg 3.30
Mg4 0.0770 0.5770 0.1541  2 Ru 3.01, 1 Pm 3.24, 2 Mg 3.30
Ru1 0.5000 0.5000 0.0000  4 Pm 2.77, 4 Mg 3.01
Ru2 0.2500 0.7500 0.5000  4 Pm 2.77, 4 Mg 3.01

---

[11]
Computed, not measured: CaMg3Sn2 after structural relaxation at the GGA-PBE level of DFT.

Summary:
Energy above the most stable polymorph in this dataset ... 12 meV per atom

abc: 4.5800 9.4120 8.6936
angles: 118.18 90.00 104.08
With the nearest neighbours (Å) after each atom.
Fractional coordinates of all 12 atoms:
Ca1 0.8658 0.7316 0.9399  6 Sn 3.32-3.66
Ca2 0.1342 0.2684 0.0601  6 Sn 3.32-3.66
Mg1 0.3125 0.6250 0.5362  4 Sn 2.94-3.13, 5 Mg 3.06-3.24
Mg2 0.9493 0.8985 0.5958  3 Sn 2.88-3.00, 3 Mg 3.04-3.19
Mg3 0.6042 0.2083 0.6956  3 Sn 2.85-3.00, 1 Mg 3.06
Mg4 0.3958 0.7917 0.3044  3 Sn 2.85-3.00, 1 Mg 3.06
Mg5 0.0507 0.1015 0.4042  3 Sn 2.88-3.00, 3 Mg 3.04-3.19
Mg6 0.6875 0.3750 0.4638  4 Sn 2.94-3.13, 5 Mg 3.06-3.24
Sn1 0.4870 0.9740 0.8227  4 Mg 2.85-2.94, 1 Sn 2.88
Sn2 0.5130 0.0260 0.1773  4 Mg 2.85-2.94, 1 Sn 2.88
Sn3 0.7822 0.5644 0.2665  6 Mg 2.97-3.13, 2 Ca 3.32
Sn4 0.2178 0.4356 0.7335  6 Mg 2.97-3.13, 2 Ca 3.32

---

[12]
Computed, not measured: MnRe4I2 after structural relaxation at the GGA-PBE level of DFT.

Summary:
Uncorrected formation energy ... 2.073 eV per atom

abc: 4.6073 4.6073 7.4353
angles: 71.95 71.95 90.00
With the nearest neighbours (Å) after each atom.
Fractional coordinates of all 7 atoms:
I1 0.6311 0.6311 0.7378  5 Re 2.71-2.89
I2 0.3689 0.3689 0.2622  5 Re 2.71-2.89
Re1 0.8339 0.8339 0.3322  1 Mn 2.22
Re2 0.1661 0.1661 0.6678  1 Mn 2.22
Re3 0.0000 0.5000 0.0000  2 Mn 2.30
Re4 0.5000 0.0000 0.0000  2 Mn 2.30
Mn1 0.0000 0.0000 0.0000  6 Re 2.22-2.30

---

| no. | size of the total moment (Bohr magnetons per cell) |
| --- | --- |
| 1 | 0.00 |
| 2 | 0.00 |
| 3 | 0.00 |
| 4 | 12.37 |
| 5 | 0.00 |
| 6 | 0.00 |
| 7 | 0.00 |
| 8 | 0.00 |
| 9 | 0.56 |
| 10 | 0.00 |
| 11 | 0.00 |
| 12 | 0.00 |